No. 1
! PBE MgZnI2O, optimized geometry; values from VASP
&SYSTEM
  ibrav = 0, nat = 5, ntyp = 4
/
ATOMIC_SPECIES
Mg 24.30 Mg.upf
Zn 65.41 Zn.upf
I 126.90 I.upf
O 16.00 O.upf
CELL_PARAMETERS angstrom
5.8396 0.0000 0.0000
0.0000 5.8396 0.0000
0.0000 0.0000 3.7761
ATOMIC_POSITIONS angstrom
Mg 0.0000 0.0000 0.0000
Zn 2.9198 2.9198 1.8880
I 0.0000 2.9198 0.0000
I 2.9198 0.0000 0.0000
O 0.0000 0.0000 1.8880
! E	-2.6342	eV per atom
! M_tot	0.0	μB per cell
! V	128.8	Å³ per cell
! formation energy from raw total energies	-449	meV per atom
! SG	P4/mmm, No. 123

No. 2
! PBE Mg3OsI, optimized geometry; values from VASP
&SYSTEM
  ibrav = 0, nat = 5, ntyp = 3
/
ATOMIC_SPECIES
Mg 24.30 Mg.upf
Os 190.23 Os.upf
I 126.90 I.upf
CELL_PARAMETERS angstrom
5.1009 0.0000 0.0000
0.0000 5.1009 0.0000
0.0000 0.0000 5.1009
ATOMIC_POSITIONS angstrom
Mg 0.0000 0.0000 2.5504
Mg 0.0000 2.5504 0.0000
Mg 2.5504 0.0000 0.0000
Os 0.0000 0.0000 0.0000
I 2.5504 2.5504 2.5504
! E	-3.0428	eV per atom
! M_tot	0.0	μB per cell
! V	132.7	Å³ per cell
! formation energy from raw total energies	470	meV per atom
! SG	Pm-3m, No. 221

No. 3
! PBE Mg2OsI, optimized geometry; values from VASP
&SYSTEM
  ibrav = 0, nat = 4, ntyp = 3
/
ATOMIC_SPECIES
Mg 24.30 Mg.upf
Os 190.23 Os.upf
I 126.90 I.upf
CELL_PARAMETERS angstrom
0.0000 3.4165 3.4165
3.4165 0.0000 3.4165
3.4165 3.4165 0.0000
ATOMIC_POSITIONS angstrom
Mg 1.7082 1.7082 1.7082
Mg 5.1247 5.1247 5.1247
Os 0.0000 0.0000 0.0000
I 3.4165 3.4165 3.4165
! E	-3.2804	eV per atom
! M_tot	0.0	μB per cell
! V	79.8	Å³ per cell
! formation energy from raw total energies	712	meV per atom
! SG	Fm-3m, No. 225

No. 4
! PBE MgOs3I, optimized geometry; values from VASP
&SYSTEM
  ibrav = 0, nat = 5, ntyp = 3
/
ATOMIC_SPECIES
Mg 24.30 Mg.upf
Os 190.23 Os.upf
I 126.90 I.upf
CELL_PARAMETERS angstrom
4.8082 0.0000 0.0000
0.0000 4.8082 0.0000
0.0000 0.0000 4.8082
ATOMIC_POSITIONS angstrom
Mg 0.0000 0.0000 0.0000
Os 0.0000 2.4041 2.4041
Os 2.4041 0.0000 2.4041
Os 2.4041 2.4041 0.0000
I 2.4041 2.4041 2.4041
! E	-4.9551	eV per atom
! M_tot	0.0	μB per cell
! V	111.2	Å³ per cell
! formation energy from raw total energies	2412	meV per atom
! SG	Pm-3m, No. 221

No. 5
! PBE Mg2OsPtI, optimized geometry; values from VASP
&SYSTEM
  ibrav = 0, nat = 5, ntyp = 4
/
ATOMIC_SPECIES
Mg 24.30 Mg.upf
Os 190.23 Os.upf
Pt 195.08 Pt.upf
I 126.90 I.upf
CELL_PARAMETERS angstrom
5.2044 0.0000 0.0000
0.0000 5.2044 0.0000
0.0000 0.0000 4.7459
ATOMIC_POSITIONS angstrom
Mg 0.0000 2.6022 0.0000
Mg 2.6022 0.0000 0.0000
Os 0.0000 0.0000 0.0000
Pt 0.0000 0.0000 2.3729
I 2.6022 2.6022 2.3729
! E	-3.9172	eV per atom
! M_tot	0.0	μB per cell
! V	128.5	Å³ per cell
! formation energy from raw total energies	485	meV per atom
! SG	P4/mmm, No. 123

No. 6
! PBE Rb2MgOsI6, optimized geometry; values from VASP
&SYSTEM
  ibrav = 0, nat = 10, ntyp = 4
/
ATOMIC_SPECIES
Rb 85.47 Rb.upf
Mg 24.30 Mg.upf
Os 190.23 Os.upf
I 126.90 I.upf
CELL_PARAMETERS angstrom
0.0000 5.7158 5.7158
5.7158 0.0000 5.7158
5.7158 5.7158 0.0000
ATOMIC_POSITIONS angstrom
Rb 2.8579 2.8579 2.8579
Rb 8.5736 8.5736 8.5736
Mg 0.0000 0.0000 0.0000
Os 5.7158 5.7158 5.7158
I 5.7158 5.7158 2.9705
I 5.7158 2.9705 5.7158
I 8.4610 5.7158 5.7158
I 2.9705 5.7158 5.7158
I 5.7158 8.4610 5.7158
I 5.7158 5.7158 8.4610
! E	-2.9903	eV per atom
! M_tot	0.0	μB per cell
! V	373.5	Å³ per cell
! formation energy from raw total energies	-584	meV per atom
! SG	Fm-3m, No. 225

No. 7
! PBE MgSbOsI2, optimized geometry; values from VASP
&SYSTEM
  ibrav = 0, nat = 5, ntyp = 4
/
ATOMIC_SPECIES
Mg 24.30 Mg.upf
Sb 121.76 Sb.upf
Os 190.23 Os.upf
I 126.90 I.upf
CELL_PARAMETERS angstrom
5.6107 0.0000 0.0000
0.0000 5.6107 0.0000
0.0000 0.0000 5.0238
ATOMIC_POSITIONS angstrom
Mg 0.0000 0.0000 0.0000
Sb 2.8053 2.8053 0.0000
Os 2.8053 2.8053 2.5119
I 0.0000 2.8053 2.5119
I 2.8053 0.0000 2.5119
! E	-3.4423	eV per atom
! M_tot	0.0	μB per cell
! V	158.1	Å³ per cell
! formation energy from raw total energies	567	meV per atom
! SG	P4/mmm, No. 123

No. 8
! PBE MgSb2OsI, optimized geometry; values from VASP
&SYSTEM
  ibrav = 0, nat = 5, ntyp = 4
/
ATOMIC_SPECIES
Mg 24.30 Mg.upf
Sb 121.76 Sb.upf
Os 190.23 Os.upf
I 126.90 I.upf
CELL_PARAMETERS angstrom
5.3680 0.0000 0.0000
0.0000 5.3680 0.0000
0.0000 0.0000 5.3344
ATOMIC_POSITIONS angstrom
Mg 0.0000 0.0000 0.0000
Sb 0.0000 2.6840 0.0000
Sb 2.6840 0.0000 0.0000
Os 2.6840 2.6840 2.6672
I 0.0000 0.0000 2.6672
! E	-3.0035	eV per atom
! M_tot	2.7	μB per cell
! V	153.7	Å³ per cell
! formation energy from raw total energies	1520	meV per atom
! SG	P4/mmm, No. 123

No. 9
! PBE MgSb2OsI, optimized geometry; values from VASP
&SYSTEM
  ibrav = 0, nat = 5, ntyp = 4
/
ATOMIC_SPECIES
Mg 24.30 Mg.upf
Sb 121.76 Sb.upf
Os 190.23 Os.upf
I 126.90 I.upf
CELL_PARAMETERS angstrom
5.0829 0.0000 0.0000
0.0000 5.0829 0.0000
0.0000 0.0000 5.8891
ATOMIC_POSITIONS angstrom
Mg 0.0000 0.0000 0.0000
Sb 0.0000 2.5414 2.9445
Sb 2.5414 0.0000 2.9445
Os 2.5414 2.5414 2.9445
I 2.5414 2.5414 0.0000
! E	-3.9809	eV per atom
! M_tot	0.0	μB per cell
! V	152.1	Å³ per cell
! formation energy from raw total energies	543	meV per atom
! SG	P4/mmm, No. 123

No. 10
! PBE MgOs2SeI, optimized geometry; values from VASP
&SYSTEM
  ibrav = 0, nat = 5, ntyp = 4
/
ATOMIC_SPECIES
Mg 24.30 Mg.upf
Os 190.23 Os.upf
Se 78.96 Se.upf
I 126.90 I.upf
CELL_PARAMETERS angstrom
4.8278 0.0000 0.0000
0.0000 4.8278 0.0000
0.0000 0.0000 4.5621
ATOMIC_POSITIONS angstrom
Mg 0.0000 0.0000 0.0000
Os 0.0000 2.4139 0.0000
Os 2.4139 0.0000 0.0000
Se 0.0000 0.0000 2.2810
I 2.4139 2.4139 2.2810
! E	-3.7594	eV per atom
! M_tot	0.0	μB per cell
! V	106.3	Å³ per cell
! formation energy from raw total energies	2058	meV per atom
! SG	P4/mmm, No. 123

No. 11
! PBE MgTlOsI2, optimized geometry; values from VASP
&SYSTEM
  ibrav = 0, nat = 5, ntyp = 4
/
ATOMIC_SPECIES
Mg 24.30 Mg.upf
Tl 204.38 Tl.upf
Os 190.23 Os.upf
I 126.90 I.upf
CELL_PARAMETERS angstrom
5.5281 0.0000 0.0000
0.0000 5.5281 0.0000
0.0000 0.0000 6.1532
ATOMIC_POSITIONS angstrom
Mg 0.0000 0.0000 0.0000
Tl 0.0000 0.0000 3.0766
Os 2.7640 2.7640 3.0766
I 0.0000 2.7640 0.0000
I 2.7640 0.0000 0.0000
! E	-2.5203	eV per atom
! M_tot	3.5	μB per cell
! V	188.0	Å³ per cell
! formation energy from raw total energies	1138	meV per atom
! SG	P4/mmm, No. 123

No. 12
! PBE Mg2OsWI, optimized geometry; values from VASP
&SYSTEM
  ibrav = 0, nat = 5, ntyp = 4
/
ATOMIC_SPECIES
Mg 24.30 Mg.upf
Os 190.23 Os.upf
W 183.84 W.upf
I 126.90 I.upf
CELL_PARAMETERS angstrom
5.0893 0.0000 0.0000
0.0000 5.0893 0.0000
0.0000 0.0000 4.9109
ATOMIC_POSITIONS angstrom
Mg 0.0000 2.5446 0.0000
Mg 2.5446 0.0000 0.0000
Os 0.0000 0.0000 2.4554
W 2.5446 2.5446 2.4554
I 0.0000 0.0000 0.0000
! E	-3.5468	eV per atom
! M_tot	3.7	μB per cell
! V	127.2	Å³ per cell
! formation energy from raw total energies	2238	meV per atom
! SG	P4/mmm, No. 123

No. 13
! PBE Mg2PI2, optimized geometry; values from VASP
&SYSTEM
  ibrav = 0, nat = 5, ntyp = 3
/
ATOMIC_SPECIES
Mg 24.30 Mg.upf
P 30.97 P.upf
I 126.90 I.upf
CELL_PARAMETERS angstrom
-2.8847 2.8847 4.5139
2.8847 -2.8847 4.5139
2.8847 2.8847 -4.5139
ATOMIC_POSITIONS angstrom
Mg 2.8847 0.0000 2.2569
Mg 0.0000 2.8847 2.2569
P 0.0000 0.0000 0.0000
I 0.0000 0.0000 2.8239
I 0.0000 0.0000 6.2038
! E	-2.1615	eV per atom
! M_tot	0.0	μB per cell
! V	150.2	Å³ per cell
! formation energy from raw total energies	178	meV per atom
! SG	I4/mmm, No. 139

No. 14
! PBE Mg2PI2, optimized geometry; values from VASP
&SYSTEM
  ibrav = 0, nat = 10, ntyp = 3
/
ATOMIC_SPECIES
Mg 24.30 Mg.upf
P 30.97 P.upf
I 126.90 I.upf
CELL_PARAMETERS angstrom
8.5148 0.0000 0.0000
0.0000 8.5148 0.0000
0.0000 0.0000 3.7441
ATOMIC_POSITIONS angstrom
Mg 1.4259 2.8315 0.0000
Mg 2.8315 7.0889 0.0000
Mg 5.6833 1.4259 0.0000
Mg 7.0889 5.6833 0.0000
P 0.0000 0.0000 1.8720
P 4.2574 4.2574 1.8720
I 1.2398 5.4972 1.8720
I 3.0176 1.2398 1.8720
I 5.4972 7.2750 1.8720
I 7.2750 3.0176 1.8720
! E	-2.0622	eV per atom
! M_tot	0.0	μB per cell
! V	271.4	Å³ per cell
! formation energy from raw total energies	278	meV per atom
! SG	P4/mbm, No. 127

No. 15
! PBE MgPI3, optimized geometry; values from VASP
&SYSTEM
  ibrav = 0, nat = 5, ntyp = 3
/
ATOMIC_SPECIES
Mg 24.30 Mg.upf
P 30.97 P.upf
I 126.90 I.upf
CELL_PARAMETERS angstrom
5.5547 0.0000 0.0000
0.0000 5.5547 0.0000
0.0000 0.0000 5.5547
ATOMIC_POSITIONS angstrom
Mg 0.0000 0.0000 0.0000
P 2.7773 2.7773 2.7773
I 0.0000 2.7773 2.7773
I 2.7773 0.0000 2.7773
I 2.7773 2.7773 0.0000
! E	-2.2006	eV per atom
! M_tot	0.0	μB per cell
! V	171.4	Å³ per cell
! formation energy from raw total energies	130	meV per atom
! SG	Pm-3m, No. 221

No. 16
! PBE MgPI2, optimized geometry; values from VASP
&SYSTEM
  ibrav = 0, nat = 8, ntyp = 3
/
ATOMIC_SPECIES
Mg 24.30 Mg.upf
P 30.97 P.upf
I 126.90 I.upf
CELL_PARAMETERS angstrom
-4.0281 4.0281 3.7600
4.0281 -4.0281 3.7600
4.0281 4.0281 -3.7600
ATOMIC_POSITIONS angstrom
Mg 0.0000 0.0000 0.0000
Mg 0.0000 4.0281 1.8800
P 4.0281 0.0000 1.8800
P 0.0000 0.0000 3.7600
I 6.0422 1.7902 -0.9400
I 1.7902 2.0141 0.9400
I -2.0141 2.2379 2.8200
I 2.2379 2.0141 4.7000
! E	-2.2777	eV per atom
! M_tot	2.0	μB per cell
! V	244.0	Å³ per cell
! formation energy from raw total energies	248	meV per atom
! SG	I-42d, No. 122

No. 17
! PBE MgP3I, optimized geometry; values from VASP
&SYSTEM
  ibrav = 0, nat = 5, ntyp = 3
/
ATOMIC_SPECIES
Mg 24.30 Mg.upf
P 30.97 P.upf
I 126.90 I.upf
CELL_PARAMETERS angstrom
4.8950 0.0000 0.0000
0.0000 4.8950 0.0000
0.0000 0.0000 4.8950
ATOMIC_POSITIONS angstrom
Mg 0.0000 0.0000 0.0000
P 0.0000 0.0000 2.4475
P 0.0000 2.4475 0.0000
P 2.4475 0.0000 0.0000
I 2.4475 2.4475 2.4475
! E	-2.8511	eV per atom
! M_tot	0.0	μB per cell
! V	117.3	Å³ per cell
! formation energy from raw total energies	1024	meV per atom
! SG	Pm-3m, No. 221

No. 18
! PBE MgPI2, optimized geometry; values from VASP
&SYSTEM
  ibrav = 0, nat = 4, ntyp = 3
/
ATOMIC_SPECIES
Mg 24.30 Mg.upf
P 30.97 P.upf
I 126.90 I.upf
CELL_PARAMETERS angstrom
0.0000 3.7253 3.7253
3.7253 0.0000 3.7253
3.7253 3.7253 0.0000
ATOMIC_POSITIONS angstrom
Mg 0.0000 0.0000 0.0000
P 3.7253 3.7253 3.7253
I 1.8627 1.8627 1.8627
I 5.5880 5.5880 5.5880
! E	-2.1236	eV per atom
! M_tot	0.0	μB per cell
! V	103.4	Å³ per cell
! formation energy from raw total energies	403	meV per atom
! SG	Fm-3m, No. 225

No. 19
! PBE Mg3PI, optimized geometry; values from VASP
&SYSTEM
  ibrav = 0, nat = 5, ntyp = 3
/
ATOMIC_SPECIES
Mg 24.30 Mg.upf
P 30.97 P.upf
I 126.90 I.upf
CELL_PARAMETERS angstrom
5.1418 0.0000 0.0000
0.0000 5.1418 0.0000
0.0000 0.0000 5.1418
ATOMIC_POSITIONS angstrom
Mg 0.0000 0.0000 2.5709
Mg 0.0000 2.5709 0.0000
Mg 2.5709 0.0000 0.0000
P 0.0000 0.0000 0.0000
I 2.5709 2.5709 2.5709
! E	-2.5324	eV per atom
! M_tot	0.0	μB per cell
! V	135.9	Å³ per cell
! formation energy from raw total energies	-184	meV per atom
! SG	Pm-3m, No. 221

No. 20
! PBE Mg3PI, optimized geometry; values from VASP
&SYSTEM
  ibrav = 0, nat = 5, ntyp = 3
/
ATOMIC_SPECIES
Mg 24.30 Mg.upf
P 30.97 P.upf
I 126.90 I.upf
CELL_PARAMETERS angstrom
5.4944 0.0000 0.0000
0.0000 5.4944 0.0000
0.0000 0.0000 5.4944
ATOMIC_POSITIONS angstrom
Mg 0.0000 0.0000 2.7472
Mg 0.0000 2.7472 0.0000
Mg 2.7472 0.0000 0.0000
P 2.7472 2.7472 2.7472
I 0.0000 0.0000 0.0000
! E	-1.5158	eV per atom
! M_tot	0.0	μB per cell
! V	165.9	Å³ per cell
! formation energy from raw total energies	833	meV per atom
! SG	Pm-3m, No. 221